# 1
# PBE NaSb3H, relaxed
# - calculated volume (A^3/atom) = 22.4
# - space-group type = No. 221
# - ΔE to the lowest computed polymorph (eV/atom) = 0.000
data_NaSb3H
_chemical_formula_sum 'Na1 Sb3 H1'
_symmetry_space_group_name_H-M 'P 1'
_symmetry_Int_Tables_number 1
_cell_length_a 4.822
_cell_length_b 4.822
_cell_length_c 4.822
_cell_angle_alpha 90.00
_cell_angle_beta 90.00
_cell_angle_gamma 90.00
loop_
_symmetry_equiv_pos_as_xyz
'x,y,z'
loop_
_atom_site_label
_atom_site_fract_x
_atom_site_fract_y
_atom_site_fract_z
Sb1 0.000 0.500 0.000
Sb2 0.000 0.000 0.500
Sb3 0.500 0.000 0.000
H1 0.000 0.000 0.000
Na1 0.500 0.500 0.500

# 2
# PBE NaSbH3, relaxed
# - calculated volume (A^3/atom) = 11.6
# - space-group type = No. 221
# - ΔE to the lowest computed polymorph (eV/atom) = 0.383
data_NaSbH3
_chemical_formula_sum 'Na1 Sb1 H3'
_symmetry_space_group_name_H-M 'P 1'
_symmetry_Int_Tables_number 1
_cell_length_a 3.874
_cell_length_b 3.874
_cell_length_c 3.874
_cell_angle_alpha 90.00
_cell_angle_beta 90.00
_cell_angle_gamma 90.00
loop_
_symmetry_equiv_pos_as_xyz
'x,y,z'
loop_
_atom_site_label
_atom_site_fract_x
_atom_site_fract_y
_atom_site_fract_z
Sb1 0.500 0.500 0.500
H1 0.000 0.500 0.000
H2 0.000 0.000 0.500
H3 0.500 0.000 0.000
Na1 0.000 0.000 0.000

# 3
# PBE Na2SbH, relaxed
# - calculated volume (A^3/atom) = 21.8
# - space-group type = No. 11
# - ΔE to the lowest computed polymorph (eV/atom) = 0.149
data_Na2SbH
_chemical_formula_sum 'Na4 Sb2 H2'
_symmetry_space_group_name_H-M 'P 1'
_symmetry_Int_Tables_number 1
_cell_length_a 3.407
_cell_length_b 6.063
_cell_length_c 8.708
_cell_angle_alpha 90.00
_cell_angle_beta 90.00
_cell_angle_gamma 104.59
loop_
_symmetry_equiv_pos_as_xyz
'x,y,z'
loop_
_atom_site_label
_atom_site_fract_x
_atom_site_fract_y
_atom_site_fract_z
Na1 0.384 0.743 0.069
Na2 0.616 0.257 0.931
Na3 0.616 0.257 0.569
Na4 0.384 0.743 0.431
Sb1 0.913 0.790 0.750
Sb2 0.087 0.210 0.250
H1 0.058 0.137 0.750
H2 0.942 0.863 0.250

# 4
# PBE Na3Sb4H2, relaxed
# - VASP energy (hartree per atom) = -0.114
# - calculated volume (A^3/atom) = 26.6
# - space-group type = No. 15
data_Na3Sb4H2
_chemical_formula_sum 'Na6 Sb8 H4'
_symmetry_space_group_name_H-M 'P 1'
_symmetry_Int_Tables_number 1
_cell_length_a 6.633
_cell_length_b 9.244
_cell_length_c 9.244
_cell_angle_alpha 57.80
_cell_angle_beta 89.59
_cell_angle_gamma 89.59
loop_
_symmetry_equiv_pos_as_xyz
'x,y,z'
loop_
_atom_site_label
_atom_site_fract_x
_atom_site_fract_y
_atom_site_fract_z
Na1 0.757 0.323 0.024
Na2 0.743 0.976 0.677
Na3 0.243 0.677 0.976
Na4 0.257 0.024 0.323
Na5 0.250 0.532 0.468
Na6 0.750 0.468 0.532
Sb1 0.535 0.843 0.152
Sb2 0.965 0.848 0.157
Sb3 0.465 0.157 0.848
Sb4 0.035 0.152 0.843
Sb5 0.012 0.311 0.347
Sb6 0.488 0.653 0.689
Sb7 0.988 0.689 0.653
Sb8 0.512 0.347 0.311
H1 0.483 0.129 0.467
H2 0.017 0.533 0.871
H3 0.517 0.871 0.533
H4 0.983 0.467 0.129